Crystalline LiIr2Pt2 at its relaxed geometry. Source: Alexandria via LeMat-Bulk, functional GGA-PBE.

Cell: 7.7707 7.7707 2.7318 Å, 90.00 90.00 90.00°
Fractional positions:
Li (0.0000, 0.0000, 0.0000)
Li (0.5000, 0.5000, 0.0000)
Ir (0.1185, 0.3815, 0.0000)
Ir (0.3815, 0.8815, 0.0000)
Ir (0.6185, 0.1185, 0.0000)
Ir (0.8815, 0.6185, 0.0000)
Pt (0.1818, 0.6818, 0.5000)
Pt (0.3182, 0.1818, 0.5000)
Pt (0.6818, 0.8182, 0.5000)
Pt (0.8182, 0.3182, 0.5000)

Values from the calculation:
Its symmetry is P4/mbm. Its energy above the most stable polymorph in this dataset is 0 meV/atom.

Crystalline LiIr2Pt at its relaxed geometry. Source: Alexandria via LeMat-Bulk, functional GGA-PBE.

Cell: 2.6995 4.1427 5.2324 Å, 90.00 104.89 90.00°
Fractional positions:
Li (0.0000, 0.0000, 0.0000)
Ir (0.2605, 0.0000, 0.5141)
Ir (0.8559, 0.5000, 0.7058)
Pt (0.5934, 0.5000, 0.1821)

Values from the calculation:
Its symmetry is Pm. Its energy above the most stable polymorph in this dataset is 37 meV/atom.

Crystalline LiIr2Pt at its relaxed geometry. Source: Alexandria via LeMat-Bulk, functional GGA-PBE.

Cell: 4.3206 4.3206 4.3206 Å, 60.00 60.00 60.00°
Fractional positions:
Li (0.0000, 0.0000, 0.0000)
Ir (0.2500, 0.2500, 0.2500)
Ir (0.7500, 0.7500, 0.7500)
Pt (0.5000, 0.5000, 0.5000)

Values from the calculation:
Its symmetry is Fm-3m. Its energy above the most stable polymorph in this dataset is 334 meV/atom.

Crystalline LiIrPt2 at its relaxed geometry. Source: Alexandria via LeMat-Bulk, functional GGA-PBE.

Cell: 4.8094 4.8094 4.7080 Å, 98.20 98.20 32.87°
Fractional positions:
Li (0.0000, 0.0000, 0.0000)
Ir (0.2438, 0.2438, 0.6923)
Pt (0.4997, 0.4997, 0.5102)
Pt (0.7502, 0.7502, 0.1923)

Values from the calculation:
Its symmetry is Cm. Its energy above the most stable polymorph in this dataset is 91 meV/atom.

Crystalline LiIrPt2 at its relaxed geometry. Source: Alexandria via LeMat-Bulk, functional GGA-PBE.

Cell: 4.7413 4.7413 2.7161 Å, 90.00 90.00 109.08°
Fractional positions:
Li (0.0000, 0.0000, 0.0000)
Ir (0.5000, 0.5000, 0.0000)
Pt (0.0000, 0.5000, 0.5000)
Pt (0.5000, 0.0000, 0.5000)

Values from the calculation:
Its symmetry is Cmmm. Its energy above the most stable polymorph in this dataset is 0 meV/atom.

Crystalline Li2IrPt at its relaxed geometry. Source: Alexandria via LeMat-Bulk, functional GGA-PBE.

Cell: 2.6503 4.3482 4.8087 Å, 90.00 92.11 90.00°
Fractional positions:
Li (0.2335, 0.0000, 0.2447)
Li (0.7665, 0.0000, 0.7553)
Ir (0.5000, 0.5000, 0.0000)
Pt (0.0000, 0.5000, 0.5000)

Values from the calculation:
Its symmetry is P2/m. Its energy above the most stable polymorph in this dataset is 60 meV/atom.

Crystalline Li2IrPt at its relaxed geometry. Source: Alexandria via LeMat-Bulk, functional GGA-PBE.

Cell: 5.1755 5.1755 4.7587 Å, 116.94 116.94 29.48°
Fractional positions:
Li (0.0000, 0.0000, 0.0000)
Li (0.2349, 0.2349, 0.9259)
Ir (0.7502, 0.7502, 0.4481)
Pt (0.4879, 0.4879, 0.4780)

Values from the calculation:
Its symmetry is Cm. Its energy above the most stable polymorph in this dataset is 42 meV/atom.

Crystalline LiIr2Pt at its relaxed geometry. Source: Alexandria via LeMat-Bulk, functional GGA-PBE.

Cell: 2.7249 3.8597 5.4123 Å, 90.00 90.00 90.00°
Fractional positions:
Li (0.0000, 0.0000, 0.0000)
Ir (0.0000, 0.0000, 0.5126)
Ir (0.5000, 0.5000, 0.7263)
Pt (0.5000, 0.5000, 0.2191)

Values from the calculation:
Its symmetry is Pmm2. Its energy above the most stable polymorph in this dataset is 19 meV/atom.